Compound: CaMo2F
Source: Alexandria
Functional: PBE+U
Structure: optimized geometry

abc: 6.917 6.917 7.033
angles: 60.55 60.55 90.00
Element x y z (fractional)
1 Mo 0.375 0.125 0.250
2 Mo 0.375 0.625 0.250
3 Mo 0.375 0.625 0.750
4 Mo 0.875 0.625 0.750
5 Ca 0.000 0.000 0.000
6 Ca 0.750 0.250 0.500
7 F 0.500 0.500 0.000
8 F 0.250 0.750 0.500

Values from the calculation:
Excess energy over the best structure of this formula in the dataset   0.000 eV per atom
Total moment   7.19 μB per formula unit
SG   I4_1/amd